VASP calculation (GGA-PBE) on crystalline Mg2TeIr at its relaxed geometry.

Lattice parameters (Å, degrees): 3.1973 3.1973 8.0568 90.00 90.00 89.97
Last column: nearest neighbours and their distance in Å.
Fractional positions:
Ir (0.5000, 0.5000, 0.7500)  8 Mg 2.71
Mg (0.0000, 0.0000, 0.9354)  4 Ir 2.71, 1 Mg 2.99
Mg (0.0000, 0.0000, 0.5646)  4 Ir 2.71, 1 Mg 2.99
Te (0.5000, 0.5000, 0.2500)  4 Te 3.20, 8 Mg 3.40

Properties
Formation energy from raw total energies   -0.284 eV/atom